(1)
VASP calculation (GGA-PBE) on a geometry-optimized CrNi4Sb structure.

Uncorrected energy = -36.505 eV for the cell shown
Space-group type = F-43m (216)
Formation energy (no corrections) = 0.061 eV per atom

Cell and atoms, written as CIF:
```
data_CrNi4Sb
_chemical_formula_sum 'Cr1 Ni4 Sb1'
_cell_length_a 4.801
_cell_length_b 4.801
_cell_length_c 4.801
_cell_angle_alpha 60.00
_cell_angle_beta 60.00
_cell_angle_gamma 60.00
_space_group_name_H-M_alt 'P 1'
_space_group_IT_number 1
_space_group_name_Hall 'P 1'
loop_
_atom_site_label
_atom_site_type_symbol
_atom_site_fract_x
_atom_site_fract_y
_atom_site_fract_z
Ni1 Ni 0.374 0.374 0.877
Ni2 Ni 0.374 0.877 0.374
Ni3 Ni 0.374 0.374 0.374
Ni4 Ni 0.877 0.374 0.374
Sb1 Sb 0.750 0.750 0.750
Cr1 Cr 0.000 0.000 0.000
```



(2)
VASP calculation (GGA-PBE) on a geometry-optimized BaSi2Ag structure.

Uncorrected energy = -15.944 eV for the cell shown
Space-group type = Cm (8)
Formation energy (no corrections) = -0.081 eV per atom

Cell and atoms, written as CIF:
```
data_BaSi2Ag
_chemical_formula_sum 'Ba1 Si2 Ag1'
_cell_length_a 4.718
_cell_length_b 4.718
_cell_length_c 6.877
_cell_angle_alpha 64.78
_cell_angle_beta 64.78
_cell_angle_gamma 50.23
_space_group_name_H-M_alt 'P 1'
_space_group_IT_number 1
_space_group_name_Hall 'P 1'
loop_
_atom_site_label
_atom_site_type_symbol
_atom_site_fract_x
_atom_site_fract_y
_atom_site_fract_z
Si1 Si 0.919 0.919 0.112
Si2 Si 0.266 0.266 0.334
Ba1 Ba 0.747 0.747 0.741
Ag1 Ag 0.569 0.569 0.313
```



(3)
VASP calculation (GGA-PBE) on a geometry-optimized BaTl2Au2 structure.

Uncorrected energy = -28.452 eV for the cell shown
Polymorph energy (0 for the lowest one) = 0.2069 eV per atom
Space-group type = P4/mbm (127)

Cell and atoms, written as CIF:
```
data_BaTl2Au2
_chemical_formula_sum 'Ba2 Tl4 Au4'
_cell_length_a 8.690
_cell_length_b 8.690
_cell_length_c 3.773
_cell_angle_alpha 90.00
_cell_angle_beta 90.00
_cell_angle_gamma 90.00
_space_group_name_H-M_alt 'P 1'
_space_group_IT_number 1
_space_group_name_Hall 'P 1'
loop_
_atom_site_label
_atom_site_type_symbol
_atom_site_fract_x
_atom_site_fract_y
_atom_site_fract_z
Tl1 Tl 0.375 0.875 0.000
Tl2 Tl 0.875 0.625 0.000
Tl3 Tl 0.625 0.125 0.000
Tl4 Tl 0.125 0.375 0.000
Ba1 Ba 0.000 0.000 0.000
Ba2 Ba 0.500 0.500 0.000
Au1 Au 0.325 0.175 0.500
Au2 Au 0.175 0.675 0.500
Au3 Au 0.675 0.825 0.500
Au4 Au 0.825 0.325 0.500
```



(4)
VASP calculation (GGA-PBE) on a geometry-optimized KSr2Co structure.

Uncorrected energy = -10.108 eV for the cell shown
Polymorph energy (0 for the lowest one) = 0.0108 eV per atom
Space-group type = C2/m (12)

Cell and atoms, written as CIF:
```
data_KSr2Co
_chemical_formula_sum 'K1 Sr2 Co1'
_cell_length_a 4.341
_cell_length_b 4.341
_cell_length_c 11.270
_cell_angle_alpha 80.21
_cell_angle_beta 80.21
_cell_angle_gamma 58.96
_space_group_name_H-M_alt 'P 1'
_space_group_IT_number 1
_space_group_name_Hall 'P 1'
loop_
_atom_site_label
_atom_site_type_symbol
_atom_site_fract_x
_atom_site_fract_y
_atom_site_fract_z
Sr1 Sr 0.036 0.036 0.900
Sr2 Sr 0.464 0.464 0.600
K1 K 0.250 0.250 0.250
Co1 Co 0.750 0.750 0.750
```



(5)
VASP calculation (GGA-PBE) on a geometry-optimized CsTcTe2S structure.

Uncorrected energy = -19.842 eV for the cell shown
Space-group type = P4/mmm (123)
Formation energy (no corrections) = 0.358 eV per atom

Cell and atoms, written as CIF:
```
data_CsTcTe2S
_chemical_formula_sum 'Cs1 Tc1 Te2 S1'
_cell_length_a 5.966
_cell_length_b 4.490
_cell_length_c 5.966
_cell_angle_alpha 90.00
_cell_angle_beta 90.00
_cell_angle_gamma 90.00
_space_group_name_H-M_alt 'P 1'
_space_group_IT_number 1
_space_group_name_Hall 'P 1'
loop_
_atom_site_label
_atom_site_type_symbol
_atom_site_fract_x
_atom_site_fract_y
_atom_site_fract_z
Cs1 Cs 0.500 0.500 0.500
Te1 Te 0.500 0.000 0.000
Te2 Te 0.000 0.000 0.500
S1 S 0.000 0.000 0.000
Tc1 Tc 0.000 0.500 0.000
```



- What is the formula in the fourth record?
  KSr2Co



- Which of these has the lowest uncorrected energy?
  CrNi4Sb



Please write out number 4 again, unchanged.
VASP calculation (GGA-PBE) on a geometry-optimized KSr2Co structure.

Uncorrected energy = -10.108 eV for the cell shown
Polymorph energy (0 for the lowest one) = 0.0108 eV per atom
Space-group type = C2/m (12)

Cell and atoms, written as CIF:
```
data_KSr2Co
_chemical_formula_sum 'K1 Sr2 Co1'
_cell_length_a 4.341
_cell_length_b 4.341
_cell_length_c 11.270
_cell_angle_alpha 80.21
_cell_angle_beta 80.21
_cell_angle_gamma 58.96
_space_group_name_H-M_alt 'P 1'
_space_group_IT_number 1
_space_group_name_Hall 'P 1'
loop_
_atom_site_label
_atom_site_type_symbol
_atom_site_fract_x
_atom_site_fract_y
_atom_site_fract_z
Sr1 Sr 0.036 0.036 0.900
Sr2 Sr 0.464 0.464 0.600
K1 K 0.250 0.250 0.250
Co1 Co 0.750 0.750 0.750
```



- The lowest uncorrected energy belongs to which entry?
  CrNi4Sb